Entry from Alexandria via LeMat-Bulk: a geometry-optimized InPbW2 structure (PBE-GGA).

Lattice parameters (Å, degrees): 5.202 5.202 5.202 131.58 131.58 70.89
Sites, in units of the cell vectors:
In  0.500  0.500  0.000
Pb  0.750  0.250  0.500
W  0.000  0.000  0.000
W  0.250  0.750  0.500

Summary:
Symmetry   I-4m2

---

Entry from Alexandria via LeMat-Bulk: a geometry-optimized InPbW2 structure (PBE-GGA).

Lattice parameters (Å, degrees): 4.817 4.817 4.817 60.00 60.00 60.00
Sites, in units of the cell vectors:
In  0.500  0.500  0.500
Pb  0.750  0.750  0.750
W  0.000  0.000  0.000
W  0.250  0.250  0.250

Summary:
Symmetry   F-43m

---

Entry from Alexandria via LeMat-Bulk: a geometry-optimized In2PbW structure (PBE-GGA).

Lattice parameters (Å, degrees): 5.542 5.542 5.542 132.94 132.94 68.75
Last column: magnetic moment on the atom in μB.
Sites, in units of the cell vectors:
In  0.000  0.000  0.000  -0.01
In  0.250  0.750  0.500  -0.01
Pb  0.500  0.500  0.000  -0.01
W  0.750  0.250  0.500  0.98

Summary:
Symmetry   I-4m2

---

Entry from Alexandria via LeMat-Bulk: a geometry-optimized InPb2W structure (PBE-GGA).

Lattice parameters (Å, degrees): 5.146 3.169 6.286 71.82 90.00 90.00
Sites, in units of the cell vectors:
In  0.500  0.750  0.750
Pb  0.000  0.131  0.015
Pb  0.000  0.369  0.485
W  0.500  0.250  0.250

Summary:
Symmetry   P2/m

---

Entry from Alexandria via LeMat-Bulk: a geometry-optimized InPb2W structure (PBE-GGA).

Lattice parameters (Å, degrees): 5.123 5.123 3.587 90.00 90.00 90.00
Sites, in units of the cell vectors:
In  0.000  0.500  0.500
Pb  0.000  0.000  0.000
Pb  0.500  0.500  0.000
W  0.500  0.000  0.500

Summary:
Symmetry   P4/mmm

---

Entry from Alexandria via LeMat-Bulk: a geometry-optimized InPb2W structure (PBE-GGA).

Lattice parameters (Å, degrees): 3.108 3.108 10.916 90.00 90.00 90.00
Sites, in units of the cell vectors:
In  0.500  0.500  0.750
Pb  0.000  0.000  0.049
Pb  0.000  0.000  0.451
W  0.500  0.500  0.250

Summary:
Symmetry   P4/mmm

---

Entry from Alexandria via LeMat-Bulk: a geometry-optimized InPbW2 structure (PBE-GGA).

Lattice parameters (Å, degrees): 3.278 3.245 8.435 78.83 90.00 90.00
Sites, in units of the cell vectors:
In  0.000  0.717  0.440
Pb  0.500  0.539  0.797
W  0.000  0.910  0.053
W  0.500  0.334  0.210

Summary:
Symmetry   Pm

---

Entry from Alexandria via LeMat-Bulk: a geometry-optimized InPb2W structure (PBE-GGA).

Lattice parameters (Å, degrees): 5.737 5.737 5.737 134.00 134.00 67.09
Last column: magnetic moment on the atom in μB.
Sites, in units of the cell vectors:
In  0.750  0.250  0.500  -0.02
Pb  0.000  0.000  0.000  -0.01
Pb  0.250  0.750  0.500  -0.01
W  0.500  0.500  0.000  1.12

Summary:
Symmetry   I-4m2

---

Entry from Alexandria via LeMat-Bulk: a geometry-optimized InPbW2 structure (PBE-GGA).

Lattice parameters (Å, degrees): 5.193 5.193 5.179 84.77 84.77 38.04
Sites, in units of the cell vectors:
In  0.750  0.750  0.750
Pb  0.250  0.250  0.250
W  0.007  0.007  0.930
W  0.493  0.493  0.570

Summary:
Symmetry   C2/m

---

Entry from Alexandria via LeMat-Bulk: a geometry-optimized InPbW2 structure (PBE-GGA).

Lattice parameters (Å, degrees): 4.761 4.761 4.761 60.00 60.00 60.00
Sites, in units of the cell vectors:
Pb  0.500  0.500  0.500
W  0.250  0.250  0.250
W  0.750  0.750  0.750
In  0.000  0.000  0.000

Summary:
Symmetry   Fm-3m

---

Entry from Alexandria via LeMat-Bulk: a geometry-optimized In2PbW structure (PBE-GGA).

Lattice parameters (Å, degrees): 3.104 5.431 5.385 90.00 90.00 90.00
Sites, in units of the cell vectors:
In  0.000  0.000  0.000
In  0.500  0.500  0.000
Pb  0.500  0.000  0.500
W  0.000  0.500  0.500

Summary:
Symmetry   Pmmm

---

Entry from Alexandria via LeMat-Bulk: a geometry-optimized InPb2W structure (PBE-GGA).

Lattice parameters (Å, degrees): 3.114 3.114 10.847 90.00 90.00 107.85
Sites, in units of the cell vectors:
In  0.500  0.500  0.716
Pb  0.000  0.000  0.974
Pb  0.500  0.500  0.297
W  0.000  0.000  0.513

Summary:
Symmetry   Cmm2

---

Calculated formation energy (computed, eV per atom): 1.014 1.054 0.808 0.847 0.973 0.684 0.475 0.969 0.840 1.152 0.828 0.620
Total DFT energy (no corrections) (computed, eV/atom): -7.07 -7.03 -4.73 -4.93 -4.80 -5.09 -7.61 -4.81 -7.25 -6.94 -4.71 -5.16